1.
# TlCo2, optimized geometry, DFT PBE
data_TlCo2
_space_group_name_H-M_alt 'P -3 m 1'
_space_group_IT_number 164
_space_group_name_Hall '-P 3 2"'
_cell_length_a 3.0249
_cell_length_b 3.0249
_cell_length_c 6.1422
_cell_angle_alpha 90.00
_cell_angle_beta 90.00
_cell_angle_gamma 120.00
loop_
_atom_site_label
_atom_site_fract_x
_atom_site_fract_y
_atom_site_fract_z
Tl1 0.0000 0.0000 0.0000
Co1 0.3333 0.6667 0.3733
# ΔH_f (0 K) (eV/f.u.): 1.98
# Uncorrected energy (eV/atom): -4.87

---

2.
# Tl4Co5, optimized geometry, DFT PBE
data_Tl4Co5
_space_group_name_H-M_alt 'I 4/m m m'
_space_group_IT_number 139
_space_group_name_Hall '-I 4 2'
_cell_length_a 9.0134
_cell_length_b 9.0134
_cell_length_c 4.0519
_cell_angle_alpha 90.00
_cell_angle_beta 90.00
_cell_angle_gamma 90.00
loop_
_atom_site_label
_atom_site_fract_x
_atom_site_fract_y
_atom_site_fract_z
Tl1 0.0000 0.3016 0.0000
Co1 0.0000 0.0000 0.0000
Co2 0.1287 0.1287 0.5000
# ΔH_f (0 K) (eV/f.u.): 4.78
# Uncorrected energy (eV/atom): -4.47